Record 1
5
Lattice="5.033 0.000 0.000 0.000 5.033 0.000 0.000 0.000 4.655" Properties=species:S:1:pos:R:3 comment="Zr2ZnAgSe, relaxed, DFT GGA-PBE" dos_at_fermi_per_ev_cell=5.275 raw_formation_energy_ev_per_atom=0.39 total_magnetization_mub_per_fu=0.0 energy_ev_per_atom=-4.548 pbc="T T T"
Zr 0.000 2.516 0.000
Zr 2.516 0.000 0.000
Zn 0.000 0.000 0.000
Ag 0.000 0.000 2.328
Se 2.516 2.516 2.328

=====

Record 2
26
Lattice="11.722 0.000 0.000 0.000 20.509 0.000 0.000 0.000 3.619" Properties=species:S:1:pos:R:3 comment="Tb2Pm6Dy5, relaxed, DFT GGA-PBE" dos_at_fermi_per_ev_cell=30.298 total_magnetization_mub_per_fu=0.0 energy_ev_per_atom=-4.576 formation_energy_ev_per_fu=1.3 pbc="T T T"
Tb 1.961 4.340 0.000
Tb 3.900 14.594 0.000
Tb 7.822 5.915 0.000
Tb 9.761 16.170 0.000
Pm 0.702 18.878 0.000
Pm 0.957 12.986 0.000
Pm 2.046 7.518 1.809
Pm 3.815 17.772 1.809
Pm 4.904 2.731 0.000
Pm 5.159 8.623 0.000
Pm 6.563 11.886 0.000
Pm 6.818 17.778 0.000
Pm 7.907 2.737 1.809
Pm 9.676 12.991 1.809
Pm 10.765 7.523 0.000
Pm 11.020 1.632 0.000
Dy 0.000 10.255 1.809
Dy 1.072 15.886 1.809
Dy 2.329 1.125 1.809
Dy 3.532 11.380 1.809
Dy 4.788 5.631 1.809
Dy 5.861 0.000 1.809
Dy 6.933 14.878 1.809
Dy 8.190 9.129 1.809
Dy 9.393 19.384 1.809
Dy 10.649 4.624 1.809

=====

Record 3
12
Lattice="3.276 0.000 0.000 -1.638 2.837 0.000 0.000 0.000 27.038" Properties=species:S:1:pos:R:3 comment="Hf2CrPb, relaxed, DFT GGA-PBE" dos_at_fermi_per_ev_cell=6.871 total_magnetization_mub_per_fu=0.0 energy_ev_per_atom=-8.092 formation_energy_ev_per_fu=0.9 pbc="T T T"
Hf 0.000 0.000 6.375
Hf 0.000 0.000 20.663
Hf 0.000 1.891 11.650
Hf 0.000 1.891 24.401
Hf 1.638 0.946 2.637
Hf 1.638 0.946 15.388
Cr 0.000 0.000 13.519
Cr 0.000 1.891 4.506
Cr 1.638 0.946 22.532
Pb 0.000 0.000 0.000
Pb 0.000 1.891 18.025
Pb 1.638 0.946 9.013

=====

Record 4
12
Lattice="4.962 -3.018 0.000 4.962 3.018 0.000 -3.745 0.000 14.640" Properties=species:S:1:pos:R:3 comment="La7Nd5, relaxed, DFT GGA-PBE" dos_at_fermi_per_ev_cell=17.585 total_magnetization_mub_per_fu=0.0 energy_ev_per_atom=-4.737 e_above_lowest_polymorph_mev_per_atom=115 formation_energy_ev_per_fu=1.5 pbc="T T T"
La 0.000 0.000 0.000
La -0.403 0.000 8.580
La -0.556 0.000 12.120
La 3.509 0.000 4.193
La 2.670 0.000 10.448
La 6.734 0.000 2.520
La 6.582 0.000 6.060
Nd 0.090 0.000 4.366
Nd 3.428 0.000 0.897
Nd 3.089 0.000 7.320
Nd 2.751 0.000 13.743
Nd 6.089 0.000 10.274

=====

Record 5
16
Lattice="8.623 0.000 0.000 0.000 8.623 0.000 0.000 0.000 6.452" Properties=species:S:1:pos:R:3 comment="BaTi2I, relaxed, DFT GGA-PBE" dos_at_fermi_per_ev_cell=21.468 raw_formation_energy_ev_per_atom=0.65 total_magnetization_mub_per_fu=1.3 energy_ev_per_atom=-4.162 pbc="T T T"
Ba 0.000 0.000 0.000
Ba 0.000 4.311 1.613
Ba 4.311 0.000 4.839
Ba 4.311 4.311 3.226
Ti 1.520 6.467 4.032
Ti 2.156 1.520 2.419
Ti 2.156 2.791 5.645
Ti 2.791 6.467 0.806
Ti 5.832 2.156 0.806
Ti 6.467 5.832 5.645
Ti 6.467 7.103 2.419
Ti 7.103 2.156 4.032
I 0.000 0.000 3.226
I 0.000 4.311 4.839
I 4.311 0.000 1.613
I 4.311 4.311 0.000

=====

Record 6
12
Lattice="2.852 0.000 0.000 -1.426 2.470 0.000 0.000 0.000 22.814" Properties=species:S:1:pos:R:3 comment="Co2CuCl, relaxed, DFT GGA-PBE" dos_at_fermi_per_ev_cell=11.685 raw_formation_energy_ev_per_atom=0.33 total_magnetization_mub_per_fu=3.5 energy_ev_per_atom=-4.704 e_above_lowest_polymorph_mev_per_atom=127 pbc="T T T"
Co 0.000 0.000 0.000
Co 0.000 0.000 5.825
Co 0.000 1.647 15.209
Co 0.000 1.647 21.034
Co 1.426 0.823 7.605
Co 1.426 0.823 13.430
Cu 0.000 0.000 11.493
Cu 0.000 1.647 3.888
Cu 1.426 0.823 19.097
Cl 0.000 0.000 17.000
Cl 0.000 1.647 9.396
Cl 1.426 0.823 1.791

=====

Record 7
16
Lattice="4.913 0.000 0.000 0.000 4.913 0.000 0.000 0.000 20.495" Properties=species:S:1:pos:R:3 comment="Ce3Bi12Pb, relaxed, DFT GGA-PBE" dos_at_fermi_per_ev_cell=20.823 total_magnetization_mub_per_fu=2.1 energy_ev_per_atom=-4.568 formation_energy_ev_per_fu=-5.0 pbc="T T T"
Ce 0.000 0.000 0.000
Ce 0.000 0.000 4.952
Ce 0.000 0.000 15.543
Bi 0.000 2.456 2.499
Bi 0.000 2.456 7.575
Bi 0.000 2.456 12.920
Bi 0.000 2.456 17.996
Bi 2.456 0.000 2.499
Bi 2.456 0.000 7.575
Bi 2.456 0.000 12.920
Bi 2.456 0.000 17.996
Bi 2.456 2.456 0.000
Bi 2.456 2.456 5.057
Bi 2.456 2.456 10.248
Bi 2.456 2.456 15.438
Pb 0.000 0.000 10.248

=====

Record 8
8
Lattice="3.208 0.000 0.000 0.000 3.357 0.000 0.000 0.000 12.197" Properties=species:S:1:pos:R:3 comment="NdDyCO, relaxed, DFT GGA-PBE" dos_at_fermi_per_ev_cell=2.809 raw_formation_energy_ev_per_atom=-1.14 total_magnetization_mub_per_fu=0.0 energy_ev_per_atom=-7.029 pbc="T T T"
Nd 0.000 0.000 0.000
Nd 1.604 1.679 6.099
Dy 0.000 1.679 3.062
Dy 1.604 0.000 9.160
C 0.000 1.679 10.251
C 1.604 0.000 4.153
O 0.000 0.000 7.250
O 1.604 1.679 1.152

=====

Record 9
4
Lattice="5.418 0.000 0.000 0.000 5.418 0.000 0.000 0.000 3.883" Properties=species:S:1:pos:R:3 comment="PrDyMg2, relaxed, DFT GGA-PBE" dos_at_fermi_per_ev_cell=4.037 total_magnetization_mub_per_fu=0.0 energy_ev_per_atom=-3.238 e_above_lowest_polymorph_mev_per_atom=7 formation_energy_ev_per_fu=-0.4 pbc="T T T"
Pr 0.000 0.000 0.000
Dy 2.709 2.709 0.000
Mg 0.000 2.709 1.942
Mg 2.709 0.000 1.942

=====

Record 10
12
Lattice="2.601 -7.809 0.000 2.601 7.809 0.000 0.000 0.000 7.260" Properties=species:S:1:pos:R:3 comment="Tb5SmAg6, relaxed, DFT GGA-PBE" dos_at_fermi_per_ev_cell=6.283 total_magnetization_mub_per_fu=0.0 energy_ev_per_atom=-4.058 formation_energy_ev_per_fu=-3.7 pbc="T T T"
Tb 0.000 0.000 0.000
Tb 2.601 2.611 3.630
Tb 2.601 2.594 0.000
Tb 2.601 -2.594 0.000
Tb 2.601 -2.611 3.630
Sm 0.000 0.000 3.630
Ag 2.601 5.180 1.797
Ag 2.601 5.180 5.463
Ag 2.601 0.000 1.783
Ag 2.601 0.000 5.477
Ag 2.601 -5.180 1.797
Ag 2.601 -5.180 5.463

=====

Record 11
10
Lattice="7.523 0.000 0.000 0.000 7.523 0.000 0.000 0.000 4.773" Properties=species:S:1:pos:R:3 comment="Ba2AlPt2, relaxed, DFT GGA-PBE" dos_at_fermi_per_ev_cell=5.319 total_magnetization_mub_per_fu=0.0 energy_ev_per_atom=-4.475 formation_energy_ev_per_fu=-2.7 pbc="T T T"
Ba 1.282 2.479 0.000
Ba 2.479 6.241 0.000
Ba 5.043 1.282 0.000
Ba 6.241 5.043 0.000
Al 0.000 0.000 2.386
Al 3.761 3.761 2.386
Pt 1.062 4.824 2.386
Pt 2.699 1.062 2.386
Pt 4.824 6.460 2.386
Pt 6.460 2.699 2.386

=====

Record 12
4
Lattice="2.966 0.000 0.000 0.000 4.726 0.000 0.000 0.000 4.967" Properties=species:S:1:pos:R:3 comment="InHgOs2, relaxed, DFT GGA-PBE" dos_at_fermi_per_ev_cell=3.391 total_magnetization_mub_per_fu=0.0 energy_ev_per_atom=-5.518 e_above_lowest_polymorph_mev_per_atom=516 formation_energy_ev_per_fu=3.4 pbc="T T T"
In 0.000 0.000 0.000
Hg 1.483 0.000 2.484
Os 0.000 2.363 2.484
Os 1.483 2.363 0.000

=====

Record 13
16
Lattice="5.600 0.000 0.000 0.000 5.600 0.000 0.000 0.000 7.909" Properties=species:S:1:pos:R:3 comment="MnPd14Au, relaxed, DFT GGA-PBE" dos_at_fermi_per_ev_cell=33.446 total_magnetization_mub_per_fu=6.2 energy_ev_per_atom=-5.376 formation_energy_ev_per_fu=-0.9 pbc="T T T"
Mn 0.000 0.000 0.000
Pd 0.000 0.000 3.955
Pd 0.000 2.800 0.000
Pd 0.000 2.800 3.955
Pd 1.383 1.383 1.971
Pd 1.383 1.383 5.938
Pd 1.383 4.217 1.971
Pd 1.383 4.217 5.938
Pd 2.800 0.000 0.000
Pd 2.800 0.000 3.955
Pd 2.800 2.800 3.955
Pd 4.217 1.383 1.971
Pd 4.217 1.383 5.938
Pd 4.217 4.217 1.971
Pd 4.217 4.217 5.938
Au 2.800 2.800 0.000

=====

Record 14
10
Lattice="4.117 0.000 0.000 0.000 4.117 0.000 0.000 0.000 9.210" Properties=species:S:1:pos:R:3 comment="Si2PRh2, relaxed, DFT GGA-PBE" dos_at_fermi_per_ev_cell=6.710 raw_formation_energy_ev_per_atom=-0.19 total_magnetization_mub_per_fu=0.0 energy_ev_per_atom=-6.383 e_above_lowest_polymorph_mev_per_atom=175 pbc="T T T"
Si 0.000 0.000 1.127
Si 0.000 0.000 8.084
Si 2.058 2.058 3.479
Si 2.058 2.058 5.732
P 0.000 0.000 4.605
P 2.058 2.058 0.000
Rh 0.000 2.058 2.303
Rh 0.000 2.058 6.908
Rh 2.058 0.000 2.303
Rh 2.058 0.000 6.908

=====

Record 15
16
Lattice="6.431 0.000 0.000 0.000 6.431 0.000 0.000 0.000 6.431" Properties=species:S:1:pos:R:3 comment="Cd2CoRe, relaxed, DFT GGA-PBE" dos_at_fermi_per_ev_cell=15.493 total_magnetization_mub_per_fu=2.9 energy_ev_per_atom=-4.480 e_above_lowest_polymorph_mev_per_atom=641 formation_energy_ev_per_fu=3.5 pbc="T T T"
Cd 1.608 1.608 1.608
Cd 1.608 1.608 4.823
Cd 1.608 4.823 1.608
Cd 1.608 4.823 4.823
Cd 4.823 1.608 1.608
Cd 4.823 1.608 4.823
Cd 4.823 4.823 1.608
Cd 4.823 4.823 4.823
Co 0.000 0.000 0.000
Co 0.000 3.215 3.215
Co 3.215 0.000 3.215
Co 3.215 3.215 0.000
Re 0.000 0.000 3.215
Re 0.000 3.215 0.000
Re 3.215 0.000 0.000
Re 3.215 3.215 3.215

=====

Record 16
16
Lattice="6.699 0.000 0.000 0.000 6.699 0.000 0.000 0.000 8.950" Properties=species:S:1:pos:R:3 comment="RhSe2Cl, relaxed, DFT GGA-PBE" dos_at_fermi_per_ev_cell=1.074 raw_formation_energy_ev_per_atom=-0.03 total_magnetization_mub_per_fu=0.0 energy_ev_per_atom=-4.073 e_above_lowest_polymorph_mev_per_atom=309 pbc="T T T"
Rh 0.000 0.000 0.000
Rh 0.000 3.350 2.238
Rh 3.350 0.000 6.713
Rh 3.350 3.350 4.475
Se 1.214 1.675 1.119
Se 1.675 4.564 3.356
Se 1.675 5.485 7.831
Se 2.136 1.675 5.594
Se 4.564 5.024 5.594
Se 5.024 1.214 7.831
Se 5.024 2.136 3.356
Se 5.485 5.024 1.119
Cl 0.000 0.000 4.475
Cl 0.000 3.350 6.713
Cl 3.350 0.000 2.238
Cl 3.350 3.350 0.000

=====

Record 17
5
Lattice="5.136 0.000 0.000 0.000 5.136 0.000 0.000 0.000 6.017" Properties=species:S:1:pos:R:3 comment="CsLiOs2S, relaxed, DFT GGA-PBE" dos_at_fermi_per_ev_cell=5.493 raw_formation_energy_ev_per_atom=2.89 total_magnetization_mub_per_fu=5.2 energy_ev_per_atom=-2.977 pbc="T T T"
Cs 0.000 0.000 0.000
Li 2.568 2.568 3.008
Os 0.000 2.568 0.000
Os 2.568 0.000 0.000
S 0.000 0.000 3.008

=====

Record 18
18
Lattice="10.375 -3.210 0.000 10.375 3.210 0.000 -6.340 0.000 9.965" Properties=species:S:1:pos:R:3 comment="La5Pm3Sm, relaxed, DFT GGA-PBE" dos_at_fermi_per_ev_cell=26.601 total_magnetization_mub_per_fu=0.0 energy_ev_per_atom=-4.615 e_above_lowest_polymorph_mev_per_atom=0 formation_energy_ev_per_fu=2.1 pbc="T T T"
La 5.281 2.011 3.398
La 5.620 2.683 7.474
La 2.472 1.242 6.604
La 12.299 2.011 1.584
La 8.768 1.242 8.343
La 5.642 -1.242 1.622
La 2.111 -2.011 8.381
La 11.938 -1.242 3.360
La 8.790 -2.683 2.491
La 9.129 -2.011 6.566
Pm 0.541 1.531 9.738
Pm 10.698 1.531 5.210
Pm 10.375 0.000 0.000
Pm 7.205 0.000 4.982
Pm 3.711 -1.531 4.755
Pm 13.869 -1.531 0.227
Sm 8.790 0.664 2.491
Sm 5.620 -0.664 7.474

=====

Record 19
6
Lattice="0.000 3.948 3.948 3.948 0.000 3.948 3.948 3.948 0.000" Properties=species:S:1:pos:R:3 comment="DyMgGe4, relaxed, DFT GGA-PBE" dos_at_fermi_per_ev_cell=3.256 total_magnetization_mub_per_fu=0.0 energy_ev_per_atom=-4.298 formation_energy_ev_per_fu=-1.1 pbc="T T T"
Dy 0.000 0.000 0.000
Mg 1.974 1.974 1.974
Ge 4.930 2.965 2.965
Ge 2.965 4.930 2.965
Ge 2.965 2.965 4.930
Ge 4.930 4.930 4.930

=====

Record 20
5
Lattice="3.900 0.000 0.000 0.000 5.258 0.000 0.000 0.000 8.250" Properties=species:S:1:pos:R:3 comment="CsNa2SbH, relaxed, DFT GGA-PBE" dos_at_fermi_per_ev_cell=2.540 total_magnetization_mub_per_fu=0.0 energy_ev_per_atom=-2.393 pbc="T T T"
Cs 0.000 0.000 0.000
Na 0.000 2.629 4.503
Na 1.950 0.000 3.809
Sb 1.950 2.629 2.058
H 0.000 0.000 5.144

=====

Record 21
14
Lattice="-3.092 3.398 4.486 3.092 -3.398 4.486 3.092 3.398 -4.486" Properties=species:S:1:pos:R:3 comment="NaDyTiO4, relaxed, DFT GGA-PBE" dos_at_fermi_per_ev_cell=0.000 raw_formation_energy_ev_per_atom=-2.92 total_magnetization_mub_per_fu=0.0 energy_ev_per_atom=-7.731 pbc="T T T"
Na -1.546 1.699 2.243
Na 1.546 1.699 2.243
Dy 0.000 0.000 0.000
Dy 0.000 3.398 0.000
Ti 3.092 1.699 -1.160
Ti 0.000 1.699 5.646
O 3.092 -0.207 2.201
O 3.092 3.191 -2.201
O 1.533 1.699 -0.060
O 1.558 -1.699 4.426
O 1.533 5.096 0.060
O 1.558 1.699 4.546
O 0.000 0.207 6.687
O 0.000 3.604 2.284

=====

Record 22
16
Lattice="-3.905 3.905 6.703 3.905 -3.905 6.703 3.905 3.905 -6.703" Properties=species:S:1:pos:R:3 comment="Y5SbIr2, relaxed, DFT GGA-PBE" dos_at_fermi_per_ev_cell=13.690 raw_formation_energy_ev_per_atom=-0.82 total_magnetization_mub_per_fu=0.0 energy_ev_per_atom=-7.591 pbc="T T T"
Y 0.000 0.000 0.000
Y 5.136 1.231 -1.811
Y 1.231 2.675 -1.811
Y 5.136 1.231 1.811
Y 1.231 2.675 1.811
Y 0.000 0.000 6.703
Y 2.675 1.231 4.892
Y -1.231 2.675 4.892
Y 2.675 1.231 8.513
Y -1.231 2.675 8.513
Sb 0.000 0.000 3.351
Sb 0.000 0.000 10.054
Ir 2.821 1.085 0.000
Ir 2.821 -1.085 6.703
Ir 1.085 4.990 0.000
Ir 1.085 2.821 6.703

=====

Record 23
5
Lattice="4.513 0.000 0.000 0.000 4.513 0.000 0.000 0.000 4.938" Properties=species:S:1:pos:R:3 comment="KIrNO2, relaxed, DFT GGA-PBE" dos_at_fermi_per_ev_cell=4.260 raw_formation_energy_ev_per_atom=2.53 total_magnetization_mub_per_fu=3.0 energy_ev_per_atom=-3.108 pbc="T T T"
K 0.000 0.000 0.000
Ir 2.256 2.256 2.469
N 0.000 0.000 2.469
O 0.000 2.256 0.000
O 2.256 0.000 0.000